1.
Computed, not measured: a geometry-optimized Ce3NiOs2 structure at the PBE level of DFT.

```
Ce3NiOs2
1.0
6.284 -2.800 0.000
6.284 2.800 0.000
-2.605 0.000 7.662
Ce Ni Os
6 2 4
Cartesian
4.330 2.778 5.746
1.732 0.011 7.000
3.035 -0.011 3.169
6.928 0.011 4.493
8.230 -0.011 0.662
5.633 -2.778 1.915
5.633 0.024 1.915
4.330 -0.024 5.746
0.506 0.010 4.446
1.809 -0.010 0.615
8.154 0.010 7.047
9.456 -0.010 3.216
```

For the relative energy among the computed polymorphs, the calculation gives 0.85 eV/f.u. The value obtained for the density of states at the Fermi level is 9.91 states/eV/cell. The total energy comes out at -92.95 eV per cell. The calculation puts the formation enthalpy at 0 K at -72 meV/atom.

=====

2.
Computed, not measured: a geometry-optimized Ta2BeB2 structure at the PBE level of DFT.

```
Ta2BeB2
1.0
5.728 0.000 0.000
0.000 5.728 0.000
0.000 0.000 3.344
Ta Be B
4 2 4
Cartesian
1.051 1.813 0.000
1.813 4.677 0.000
3.915 1.051 0.000
4.677 3.915 0.000
0.000 0.000 1.672
2.864 2.864 1.672
0.622 3.486 1.672
2.243 0.622 1.672
3.486 5.107 1.672
5.107 2.243 1.672
```

For the relative energy among the computed polymorphs, the calculation gives 0.67 eV/f.u. The value obtained for the density of states at the Fermi level is 4.39 states/eV/cell. The total energy comes out at -86.69 eV per cell. The calculation puts the formation enthalpy at 0 K at -512 meV/atom.

=====

3.
Computed, not measured: a geometry-optimized PrMgTa4N8 structure at the PBE level of DFT.

```
PrMgTa4N8
1.0
3.179 1.836 5.289
-3.179 1.836 5.289
0.000 -3.671 5.289
Pr Mg Ta N
1 1 4 8
Cartesian
0.000 0.000 0.000
0.000 0.000 9.859
-1.652 -0.954 7.203
0.000 0.000 3.911
1.652 -0.954 7.203
0.000 1.907 7.203
0.000 -1.822 8.487
-1.578 0.911 8.487
0.000 0.000 5.991
-1.355 -0.782 11.392
0.000 0.000 13.580
1.355 -0.782 11.392
0.000 1.565 11.392
1.578 0.911 8.487
```

The value obtained for the density of states at the Fermi level is 3.39 states/eV/cell. Its uncorrected formation energy is -97.2 kJ/mol of atoms. The total energy comes out at -134.49 eV per cell.

=====

What is the total energy in the third record?
-134.49 eV per cell

=====

Look up the total energy of the third one.
-134.49 eV per cell

=====

Which formula does entry 1 have?
Ce3NiOs2